Record 1
Below is a relaxed SnHg2Ge2 crystal, with properties calculated at the GGA-PBE level.

Properties
- polymorph energy (0 for the lowest one) (eV per atom) = 0.005
- spin magnetization (μB per cell) = 0.00
- E_tot (eV per atom) = -2.545
- density of states at the Fermi level (states/eV/f.u.) = 1.70

The structure in CIF format:
```
data_SnHg2Ge2
_chemical_formula_sum 'Sn2 Hg4 Ge4'
_space_group_name_H-M_alt 'P 4/m b m'
_space_group_IT_number 127
_space_group_name_Hall '-P 4 2ab'
_cell_length_a 7.399
_cell_length_b 7.399
_cell_length_c 4.446
_cell_angle_alpha 90.00
_cell_angle_beta 90.00
_cell_angle_gamma 90.00
loop_
_atom_site_label
_atom_site_fract_x
_atom_site_fract_y
_atom_site_fract_z
_atom_site_occupancy
Sn1 0.000 0.000 0.000 1
Hg1 0.182 0.318 0.500 1
Ge1 0.124 0.624 0.000 1
```

Record 2
Below is a relaxed Ta3FeBr crystal, with properties calculated at the GGA-PBE level.

Properties
- polymorph energy (0 for the lowest one) (eV per atom) = 0.000
- spin magnetization (μB per cell) = 0.00
- E_tot (eV per atom) = -8.110
- formation energy without anion corrections (meV/atom) = 1029
- density of states at the Fermi level (states/eV/f.u.) = 7.30

The structure in CIF format:
```
data_Ta3FeBr
_chemical_formula_sum 'Ta3 Fe1 Br1'
_space_group_name_H-M_alt 'P m -3 m'
_space_group_IT_number 221
_space_group_name_Hall '-P 4 2 3'
_cell_length_a 4.664
_cell_length_b 4.664
_cell_length_c 4.664
_cell_angle_alpha 90.00
_cell_angle_beta 90.00
_cell_angle_gamma 90.00
loop_
_atom_site_label
_atom_site_fract_x
_atom_site_fract_y
_atom_site_fract_z
_atom_site_occupancy
Ta1 0.000 0.000 0.500 1
Fe1 0.000 0.000 0.000 1
Br1 0.500 0.500 0.500 1
```

Record 3
Below is a relaxed TeOs2W crystal, with properties calculated at the GGA-PBE level.

Properties
- spin magnetization (μB per cell) = 0.00
- E_tot (eV per atom) = -8.582
- formation energy without anion corrections (meV/atom) = 1056
- density of states at the Fermi level (states/eV/f.u.) = 2.38

The structure in CIF format:
```
data_TeOs2W
_chemical_formula_sum 'Te4 Os8 W4'
_space_group_name_H-M_alt 'I -4 2 d'
_space_group_IT_number 122
_space_group_name_Hall 'I -4 2bw'
_cell_length_a 5.807
_cell_length_b 5.807
_cell_length_c 11.495
_cell_angle_alpha 90.00
_cell_angle_beta 90.00
_cell_angle_gamma 90.00
loop_
_atom_site_label
_atom_site_fract_x
_atom_site_fract_y
_atom_site_fract_z
_atom_site_occupancy
Te1 0.000 0.000 0.000 1
Os1 0.232 0.250 0.625 1
W1 0.000 0.000 0.500 1
```

The lowest density of states at the Fermi level belongs to which entry?
SnHg2Ge2